Entry 1:
Compound: ScSi2Tc
Source: OQMD via LeMat-Bulk
Functional: GGA-PBE
Structure: relaxed

Results
Electronic total energy, eV/atom: -6.950
SG: F-43m (216)
Volume, Å³ per atom: 14.9
Mass density, g/cm³: 5.54

Geometry as CIF:
```
data_ScSi2Tc
_chemical_formula_sum 'Sc1 Si2 Tc1'
_cell_length_a 4.385
_cell_length_b 4.385
_cell_length_c 4.385
_cell_angle_alpha 60.00
_cell_angle_beta 60.00
_cell_angle_gamma 60.00
_space_group_name_H-M_alt 'P 1'
_space_group_IT_number 1
_space_group_name_Hall 'P 1'
loop_
_atom_site_label
_atom_site_fract_x
_atom_site_fract_y
_atom_site_fract_z
Tc1 0.250 0.250 0.250
Sc1 0.500 0.500 0.500
Si1 0.750 0.750 0.750
Si2 0.000 0.000 0.000
```

***

Entry 2:
Compound: Li4In2HgPt
Source: OQMD via LeMat-Bulk
Functional: GGA-PBE
Structure: relaxed

Results
Electronic total energy, eV/atom: -2.879
SG: P-4m2 (115)
Volume, Å³ per atom: 17.4
Mass density, g/cm³: 7.81

Geometry as CIF:
```
data_Li4In2HgPt
_chemical_formula_sum 'Li4 In2 Hg1 Pt1'
_cell_length_a 4.585
_cell_length_b 4.585
_cell_length_c 6.609
_cell_angle_alpha 90.00
_cell_angle_beta 90.00
_cell_angle_gamma 90.00
_space_group_name_H-M_alt 'P 1'
_space_group_IT_number 1
_space_group_name_Hall 'P 1'
loop_
_atom_site_label
_atom_site_fract_x
_atom_site_fract_y
_atom_site_fract_z
Li1 0.500 0.500 0.000
Li2 0.000 0.500 0.735
Li3 0.500 0.000 0.265
Li4 0.000 0.000 0.500
In1 0.000 0.500 0.272
In2 0.500 0.000 0.728
Pt1 0.500 0.500 0.500
Hg1 0.000 0.000 0.000
```

***

Entry 3:
Compound: YMg2Cd
Source: OQMD via LeMat-Bulk
Functional: GGA-PBE
Structure: relaxed

Results
Electronic total energy, eV/atom: -2.804
SG: Cmcm (63)
Volume, Å³ per atom: 24.0
Mass density, g/cm³: 4.33

Geometry as CIF:
```
data_YMg2Cd
_chemical_formula_sum 'Y2 Mg4 Cd2'
_cell_length_a 6.532
_cell_length_b 6.532
_cell_length_c 4.943
_cell_angle_alpha 90.00
_cell_angle_beta 90.00
_cell_angle_gamma 114.64
_space_group_name_H-M_alt 'P 1'
_space_group_IT_number 1
_space_group_name_Hall 'P 1'
loop_
_atom_site_label
_atom_site_fract_x
_atom_site_fract_y
_atom_site_fract_z
Mg1 0.692 0.879 0.750
Mg2 0.121 0.308 0.750
Mg3 0.308 0.121 0.250
Mg4 0.879 0.692 0.250
Y1 0.360 0.640 0.250
Y2 0.640 0.360 0.750
Cd1 0.826 0.174 0.250
Cd2 0.174 0.826 0.750
```

***

Entry 4:
Compound: GdPt2O4
Source: OQMD via LeMat-Bulk
Functional: GGA-PBE
Structure: relaxed

Results
Electronic total energy, eV/atom: -6.168
SG: Fd-3m (227)
Volume, Å³ per atom: 14.1
Mass density, g/cm³: 10.27

Geometry as CIF:
```
data_GdPt2O4
_chemical_formula_sum 'Gd2 Pt4 O8'
_cell_length_a 6.540
_cell_length_b 6.540
_cell_length_c 6.540
_cell_angle_alpha 120.02
_cell_angle_beta 89.97
_cell_angle_gamma 120.02
_space_group_name_H-M_alt 'P 1'
_space_group_IT_number 1
_space_group_name_Hall 'P 1'
loop_
_atom_site_label
_atom_site_fract_x
_atom_site_fract_y
_atom_site_fract_z
Pt1 0.875 0.250 0.625
Pt2 0.375 0.750 0.125
Pt3 0.375 0.750 0.625
Pt4 0.375 0.250 0.625
O1 0.611 0.778 0.389
O2 0.167 0.778 0.389
O3 0.139 0.278 0.861
O4 0.139 0.722 0.861
O5 0.139 0.278 0.417
O6 0.583 0.722 0.861
O7 0.611 0.222 0.833
O8 0.611 0.222 0.389
Gd1 0.000 0.000 0.000
Gd2 0.750 0.500 0.250
```